1.
# RbVS2 | Alexandria via LeMat-Bulk | PBE | optimized geometry
# Formation energy without anion corrections   -0.98 eV per atom
# Crystal system   tetragonal
# Total magnetic moment   0.50 μB per atom
data_RbVS2
_cell_length_a 7.053
_cell_length_b 7.053
_cell_length_c 6.756
_cell_angle_alpha 58.54
_cell_angle_beta 58.54
_cell_angle_gamma 90.00
_space_group_name_H-M_alt 'P 1'
_space_group_IT_number 1
loop_
_space_group_symop_operation_xyz
'x,y,z'
loop_
_atom_site_label
_atom_site_fract_x
_atom_site_fract_y
_atom_site_fract_z
S1 0.502 0.125 0.250
S2 0.248 0.625 0.250
S3 0.375 0.498 0.750
S4 0.875 0.752 0.750
Rb1 0.000 0.000 0.000
Rb2 0.750 0.250 0.500
V1 0.500 0.500 0.000
V2 0.250 0.750 0.500



2.
# Rb2VS2 | Alexandria via LeMat-Bulk | PBE | optimized geometry
# Formation energy without anion corrections   -0.88 eV per atom
# Crystal system   orthorhombic
# Total magnetic moment   0.20 μB per atom
data_Rb2VS2
_cell_length_a 5.901
_cell_length_b 7.428
_cell_length_c 8.118
_cell_angle_alpha 117.23
_cell_angle_beta 111.31
_cell_angle_gamma 90.00
_space_group_name_H-M_alt 'P 1'
_space_group_IT_number 1
loop_
_space_group_symop_operation_xyz
'x,y,z'
loop_
_atom_site_label
_atom_site_fract_x
_atom_site_fract_y
_atom_site_fract_z
Rb1 0.850 0.696 0.700
Rb2 0.150 0.304 0.300
Rb3 0.650 0.996 0.300
Rb4 0.350 0.004 0.700
V1 0.750 0.500 0.000
V2 0.250 0.500 0.000
S1 0.406 0.583 0.811
S2 0.594 0.417 0.189
S3 0.094 0.772 0.189
S4 0.906 0.228 0.811



3.
# RbVS3 | Alexandria via LeMat-Bulk | PBE | optimized geometry
# Formation energy without anion corrections   1.52 eV per atom
# Crystal system   cubic
# Total magnetic moment   0.03 μB per atom
data_RbVS3
_cell_length_a 5.579
_cell_length_b 5.579
_cell_length_c 5.579
_cell_angle_alpha 90.00
_cell_angle_beta 90.00
_cell_angle_gamma 90.00
_space_group_name_H-M_alt 'P 1'
_space_group_IT_number 1
loop_
_space_group_symop_operation_xyz
'x,y,z'
loop_
_atom_site_label
_atom_site_fract_x
_atom_site_fract_y
_atom_site_fract_z
S1 0.000 0.500 0.000
S2 0.000 0.000 0.500
S3 0.500 0.000 0.000
Rb1 0.000 0.000 0.000
V1 0.500 0.500 0.500



4.
# Rb4VS4 | Alexandria via LeMat-Bulk | PBE | optimized geometry
# Formation energy without anion corrections   -1.12 eV per atom
# Crystal system   tetragonal
# Total magnetic moment   0.11 μB per atom
data_Rb4VS4
_cell_length_a 7.103
_cell_length_b 9.213
_cell_length_c 9.213
_cell_angle_alpha 90.00
_cell_angle_beta 90.00
_cell_angle_gamma 90.00
_space_group_name_H-M_alt 'P 1'
_space_group_IT_number 1
loop_
_space_group_symop_operation_xyz
'x,y,z'
loop_
_atom_site_label
_atom_site_fract_x
_atom_site_fract_y
_atom_site_fract_z
Rb1 0.351 0.277 0.000
Rb2 0.851 0.500 0.777
Rb3 0.351 0.723 0.000
Rb4 0.149 0.223 0.500
Rb5 0.649 0.000 0.723
Rb6 0.149 0.777 0.500
Rb7 0.851 0.500 0.223
Rb8 0.649 0.000 0.277
V1 0.000 0.000 0.000
V2 0.500 0.500 0.500
S1 0.675 0.702 0.500
S2 0.675 0.298 0.500
S3 0.175 0.000 0.798
S4 0.825 0.202 0.000
S5 0.825 0.798 0.000
S6 0.325 0.500 0.298
S7 0.325 0.500 0.702
S8 0.175 0.000 0.202